Computed, not measured: a relaxed BaNbRh2 crystal at the GGA-PBE level of DFT.

Cell lengths 7.552, 7.552, 6.804 Å; angles 90.00, 90.00, 90.00 degrees
Space group I-42d (No. 122)
Inequivalent atoms, fractional coordinates:
Ba (0.000, 0.000, 0.000) x4
Nb (0.000, 0.000, 0.500) x4
Rh (0.182, 0.250, 0.625) x8

Properties
Energy of formation = 0.25 eV/atom
E_tot = -6.43 eV/atom
Total magnetization = 0.0000 μB/atom
ρ = 7.46 Mg/m³
V = 24.25 Å³/atom

---

Computed, not measured: a relaxed Ba2NbRh2 crystal at the GGA-PBE level of DFT.

Cell lengths 4.807, 4.807, 12.075 Å; angles 90.00, 90.00, 90.00 degrees
Space group I4/mmm (No. 139)
Inequivalent atoms, fractional coordinates:
Ba (0.000, 0.500, 0.250) x4
Nb (0.000, 0.000, 0.000) x2
Rh (0.000, 0.000, 0.397) x4

Properties
Energy of formation = 1.04 eV/atom
E_tot = -4.68 eV/atom
Total magnetization = 0.6682 μB/atom
ρ = 6.82 Mg/m³
V = 27.90 Å³/atom

---

Computed, not measured: a relaxed BaNbSnRh2 crystal at the GGA-PBE level of DFT.

Cell lengths 4.844, 4.844, 5.797 Å; angles 90.00, 90.00, 90.00 degrees
Space group P4/mmm (No. 123)
Inequivalent atoms, fractional coordinates:
Ba (0.000, 0.000, 0.000) x1
Nb (0.000, 0.000, 0.500) x1
Sn (0.500, 0.500, 0.000) x1
Rh (0.000, 0.500, 0.500) x2

Properties
Energy of formation = 0.75 eV/atom
E_tot = -5.39 eV/atom
Total magnetization = 0.0000 μB/atom
ρ = 6.77 Mg/m³
V = 27.21 Å³/atom

---

Computed, not measured: a relaxed BaNbSnRh2 crystal at the GGA-PBE level of DFT.

Cell lengths 4.933, 4.933, 5.419 Å; angles 90.00, 90.00, 90.00 degrees
Space group P4/mmm (No. 123)
Inequivalent atoms, fractional coordinates:
Ba (0.000, 0.000, 0.000) x1
Nb (0.500, 0.500, 0.500) x1
Sn (0.500, 0.500, 0.000) x1
Rh (0.000, 0.500, 0.500) x2

Properties
Energy of formation = 0.25 eV/atom
E_tot = -5.89 eV/atom
Total magnetization = 0.0000 μB/atom
ρ = 6.99 Mg/m³
V = 26.37 Å³/atom

---

Computed, not measured: a relaxed BaNb2TcRh crystal at the GGA-PBE level of DFT.

Cell lengths 4.774, 4.774, 5.782 Å; angles 90.00, 90.00, 90.00 degrees
Space group P4/mmm (No. 123)
Inequivalent atoms, fractional coordinates:
Ba (0.000, 0.000, 0.000) x1
Nb (0.000, 0.500, 0.500) x2
Tc (0.000, 0.000, 0.500) x1
Rh (0.500, 0.500, 0.000) x1

Properties
Energy of formation = 1.31 eV/atom
E_tot = -6.65 eV/atom
Total magnetization = 0.1795 μB/atom
ρ = 6.60 Mg/m³
V = 26.36 Å³/atom

---

Computed, not measured: a relaxed BaTi2NbRh crystal at the GGA-PBE level of DFT.

Cell lengths 4.949, 4.949, 5.040 Å; angles 90.00, 90.00, 90.00 degrees
Space group P4/mmm (No. 123)
Inequivalent atoms, fractional coordinates:
Ba (0.000, 0.000, 0.000) x1
Ti (0.000, 0.500, 0.500) x2
Nb (0.500, 0.500, 0.500) x1
Rh (0.500, 0.500, 0.000) x1

Properties
Energy of formation = 0.61 eV/atom
E_tot = -6.42 eV/atom
Total magnetization = 0.0000 μB/atom
ρ = 5.77 Mg/m³
V = 24.68 Å³/atom

---

Computed, not measured: a relaxed Ba2NbRhW crystal at the GGA-PBE level of DFT.

Cell lengths 6.026, 6.026, 4.717 Å; angles 90.00, 90.00, 90.00 degrees
Space group P4/mmm (No. 123)
Inequivalent atoms, fractional coordinates:
Ba (0.000, 0.500, 0.000) x2
Nb (0.000, 0.000, 0.500) x1
Rh (0.500, 0.500, 0.500) x1
W (0.500, 0.500, 0.000) x1

Properties
Energy of formation = 1.54 eV/atom
E_tot = -5.30 eV/atom
Total magnetization = 0.8130 μB/atom
ρ = 6.34 Mg/m³
V = 34.26 Å³/atom

---

Computed, not measured: a relaxed BaNbRu2 crystal at the GGA-PBE level of DFT.

Cell lengths 6.815, 6.815, 6.815 Å; angles 90.00, 90.00, 90.00 degrees
Space group Fm-3m (No. 225)
Inequivalent atoms, fractional coordinates:
Ba (0.000, 0.000, 0.000) x4
Nb (0.000, 0.000, 0.500) x4
Ru (0.250, 0.250, 0.250) x8

Properties
Energy of formation = 0.76 eV/atom
E_tot = -6.88 eV/atom
Total magnetization = 0.0000 μB/atom
ρ = 9.07 Mg/m³
V = 19.79 Å³/atom